This record from Alexandria via LeMat-Bulk describes crystalline VInPCl2 at its relaxed geometry. The functional is PBE.

POSCAR file:
```
VInPCl2
1.0
5.3674 0.0000 0.0000
0.0000 4.6543 0.0000
0.0000 0.0000 5.3674
Cl P V In
2 1 1 1
Direct
0.5000 0.0000 0.0000
0.0000 0.0000 0.5000
0.0000 0.0000 0.0000
0.0000 0.5000 0.0000
0.5000 0.5000 0.5000
```

- calculated density (g/cm³) = 3.31
- formation energy from raw total energies (eV/atom) = 0.220
- N(E_F) (states/eV per cell) = 7.08
- distance to the lowest polymorph of the same formula (eV/atom) = 0.5510
- energy (eV per formula unit) = -19.9



This record from Alexandria via LeMat-Bulk describes crystalline VInPCl2 at its relaxed geometry. The functional is PBE.

POSCAR file:
```
VInPCl2
1.0
5.1478 0.0000 0.0000
0.0000 5.1478 0.0000
0.0000 0.0000 5.0640
In Cl P V
1 2 1 1
Direct
0.5000 0.5000 0.5000
0.0000 0.5000 0.0000
0.5000 0.0000 0.0000
0.0000 0.0000 0.5000
0.0000 0.0000 0.0000
```

- calculated density (g/cm³) = 3.31
- formation energy from raw total energies (eV/atom) = -0.331
- N(E_F) (states/eV per cell) = 2.70
- distance to the lowest polymorph of the same formula (eV/atom) = 0.0000
- energy (eV per formula unit) = -22.6



This record from Alexandria via LeMat-Bulk describes crystalline InPWCl2 at its relaxed geometry. The functional is PBE.

POSCAR file:
```
InPWCl2
1.0
-1.2319 -4.5101 -1.3827
4.6356 -0.8926 -1.2187
0.9648 -1.7907 4.9813
Cl W In P
2 1 1 1
Direct
0.5000 0.0000 0.0000
0.0000 0.5000 0.0000
0.5000 0.5000 0.5000
0.0000 0.0000 0.0000
0.0000 0.0000 0.5000
```

- calculated density (g/cm³) = 5.20
- formation energy from raw total energies (eV/atom) = 1.100
- N(E_F) (states/eV per cell) = 6.15
- distance to the lowest polymorph of the same formula (eV/atom) = 1.0736
- energy (eV per formula unit) = -19.3



This record from Alexandria via LeMat-Bulk describes crystalline InPWCl2 at its relaxed geometry. The functional is PBE.

POSCAR file:
```
InPWCl2
1.0
-1.4848 -3.3893 3.0885
5.7978 -1.3045 1.3557
-0.0929 3.2680 3.5415
In W P Cl
1 1 1 2
Direct
0.0000 0.0000 0.0000
0.0000 0.5000 0.0000
0.5000 0.5000 0.5000
0.5000 0.0000 0.0000
0.0000 0.0000 0.5000
```

- calculated density (g/cm³) = 4.70
- formation energy from raw total energies (eV/atom) = 1.272
- N(E_F) (states/eV per cell) = 2.54
- distance to the lowest polymorph of the same formula (eV/atom) = 1.2457
- energy (eV per formula unit) = -18.4



This record from Alexandria via LeMat-Bulk describes crystalline InPWCl2 at its relaxed geometry. The functional is PBE.

POSCAR file:
```
InPWCl2
1.0
5.0394 0.0000 0.0000
0.0000 5.0394 0.0000
0.0000 0.0000 4.7226
Cl W P In
2 1 1 1
Direct
0.0000 0.5000 0.0000
0.5000 0.0000 0.0000
0.0000 0.0000 0.0000
0.0000 0.0000 0.5000
0.5000 0.5000 0.5000
```

- calculated density (g/cm³) = 5.55
- formation energy from raw total energies (eV/atom) = 0.026
- N(E_F) (states/eV per cell) = 3.00
- distance to the lowest polymorph of the same formula (eV/atom) = 0.0000
- energy (eV per formula unit) = -24.7



This record from Alexandria via LeMat-Bulk describes crystalline ZrInP2Cl at its relaxed geometry. The functional is PBE.

POSCAR file:
```
ZrInP2Cl
1.0
-0.3224 -4.9617 1.0213
3.2095 0.5917 3.8877
-3.9710 0.9044 3.1406
P Zr Cl In
2 1 1 1
Direct
0.5000 0.0000 0.0000
0.0000 0.5000 0.0000
0.0000 0.0000 0.0000
0.0000 0.0000 0.5000
0.5000 0.5000 0.5000
```

- calculated density (g/cm³) = 3.80
- formation energy from raw total energies (eV/atom) = -0.278
- N(E_F) (states/eV per cell) = 3.43
- distance to the lowest polymorph of the same formula (eV/atom) = 0.0000
- energy (eV per formula unit) = -25.3



This record from Alexandria via LeMat-Bulk describes crystalline ZrInP2Cl at its relaxed geometry. The functional is PBE.

POSCAR file:
```
ZrInP2Cl
1.0
5.1727 0.0000 0.0000
0.0000 5.1727 0.0000
0.0000 0.0000 5.0486
In P Zr Cl
1 2 1 1
Direct
0.0000 0.0000 0.0000
0.5000 0.0000 0.0000
0.0000 0.5000 0.0000
0.5000 0.5000 0.5000
0.0000 0.0000 0.5000
```

- calculated density (g/cm³) = 3.73
- formation energy from raw total energies (eV/atom) = 0.613
- N(E_F) (states/eV per cell) = 3.84
- distance to the lowest polymorph of the same formula (eV/atom) = 0.8907
- energy (eV per formula unit) = -20.9



This record from Alexandria via LeMat-Bulk describes crystalline PaIn2Cl8 at its relaxed geometry. The functional is PBE.

POSCAR file:
```
PaIn2Cl8
1.0
9.5469 0.0000 0.0000
-4.7734 6.2566 -1.4227
0.0000 -0.6423 6.4416
Pa In Cl
1 2 8
Direct
0.0000 0.0000 0.0000
0.3707 0.7414 0.6163
0.6293 0.2586 0.3837
0.1255 0.2510 0.7689
0.9348 0.2474 0.2462
0.5881 0.1762 0.7642
0.6874 0.7526 0.7538
0.8745 0.7490 0.2311
0.0652 0.7526 0.7538
0.3126 0.2474 0.2462
0.4119 0.8238 0.2358
```

- calculated density (g/cm³) = 3.29
- formation energy from raw total energies (eV/atom) = -1.352
- N(E_F) (states/eV per cell) = 4.06
- distance to the lowest polymorph of the same formula (eV/atom) = 0.0000
- energy (eV per formula unit) = -44.6



- Among the records above, which one has the highest formation energy from raw total energies?
  number 4